Record 1
First-principles (PBE) data for crystalline NdPt2Rh at its relaxed geometry, as listed in the Alexandria database. Values from VASP.

Calculated values
Space-group type = Pmma
Formation energy = -0.145 eV per atom
Density = 11.1 Mg/m³

Structure (Quantum ESPRESSO input):
```
&SYSTEM
  ibrav = 0, nat = 16, ntyp = 3
/
ATOMIC_SPECIES
Nd 144.24 Nd.upf
Pt 195.08 Pt.upf
Rh 102.91 Rh.upf
ATOMIC_POSITIONS crystal
Nd 0.2500 0.0000 0.1572
Nd 0.2500 0.5000 0.3297
Nd 0.7500 0.0000 0.8428
Nd 0.7500 0.5000 0.6703
Pt 0.0000 0.0000 0.5000
Pt 0.0000 0.5000 0.0000
Pt 0.2500 0.2548 0.5879
Pt 0.2500 0.7452 0.5879
Pt 0.5000 0.0000 0.5000
Pt 0.5000 0.5000 0.0000
Pt 0.7500 0.2548 0.4121
Pt 0.7500 0.7452 0.4121
Rh 0.2500 0.0000 0.8013
Rh 0.2500 0.5000 0.7429
Rh 0.7500 0.0000 0.1987
Rh 0.7500 0.5000 0.2571
CELL_PARAMETERS angstrom
5.4715 0.0000 0.0000
0.0000 8.5568 0.0000
0.0000 0.0000 8.1806
```



Record 2
First-principles (PBE) data for crystalline Dy8Y2In at its relaxed geometry, as listed in the Alexandria database. Values from VASP.

Calculated values
Space-group type = C2/m
Formation energy = 0.156 eV per atom
Density = 7.4 Mg/m³

Structure (Quantum ESPRESSO input):
```
&SYSTEM
  ibrav = 0, nat = 11, ntyp = 3
/
ATOMIC_SPECIES
Dy 162.50 Dy.upf
Y 88.91 Y.upf
In 114.82 In.upf
ATOMIC_POSITIONS crystal
Dy 0.1388 0.7383 0.7279
Dy 0.1501 0.1501 0.7989
Dy 0.2617 0.8612 0.2721
Dy 0.2778 0.2778 0.4106
Dy 0.7222 0.7222 0.5894
Dy 0.7383 0.1388 0.7279
Dy 0.8499 0.8499 0.2011
Dy 0.8612 0.2617 0.2721
Y 0.3844 0.3844 0.0222
Y 0.6156 0.6156 0.9778
In 0.5000 0.5000 0.5000
CELL_PARAMETERS angstrom
7.6820 -3.7962 0.0000
7.6820 3.7962 0.0000
-2.0432 0.0000 6.1666
```



Record 3
First-principles (PBE) data for crystalline Pa2SnF at its relaxed geometry, as listed in the Alexandria database. Values from VASP.

Calculated values
Formation energy from raw total energies = -3.846 eV per formula unit
Space-group type = R-3m
Density = 10.7 Mg/m³

Structure (Quantum ESPRESSO input):
```
&SYSTEM
  ibrav = 0, nat = 4, ntyp = 3
/
ATOMIC_SPECIES
Pa 231.04 Pa.upf
Sn 118.71 Sn.upf
F 19.00 F.upf
ATOMIC_POSITIONS crystal
Pa 0.0763 0.0763 0.0763
Pa 0.9237 0.9237 0.9237
Sn 0.5000 0.5000 0.5000
F 0.0000 0.0000 0.0000
CELL_PARAMETERS angstrom
1.6351 0.9440 10.0857
-1.6351 0.9440 10.0857
0.0000 -1.8880 10.0857
```



Record 4
First-principles (PBE) data for crystalline Ac4IrRu at its relaxed geometry, as listed in the Alexandria database. Values from VASP.

Calculated values
Space-group type = C2/c
Formation energy = -0.361 eV per atom
Density = 9.3 Mg/m³

Structure (Quantum ESPRESSO input):
```
&SYSTEM
  ibrav = 0, nat = 12, ntyp = 3
/
ATOMIC_SPECIES
Ac 227.00 Ac.upf
Ir 192.22 Ir.upf
Ru 101.07 Ru.upf
ATOMIC_POSITIONS crystal
Ac 0.0514 0.4343 0.2447
Ac 0.1980 0.3014 0.7476
Ac 0.3014 0.1980 0.2476
Ac 0.4343 0.0514 0.7447
Ac 0.5657 0.9486 0.2553
Ac 0.6986 0.8020 0.7524
Ac 0.8020 0.6986 0.2524
Ac 0.9486 0.5657 0.7553
Ir 0.4204 0.5796 0.2500
Ir 0.5796 0.4204 0.7500
Ru 0.0854 0.9146 0.7500
Ru 0.9146 0.0854 0.2500
CELL_PARAMETERS angstrom
4.4011 -8.2771 0.0000
4.4011 8.2771 0.0000
-4.3986 0.0000 5.9059
```